(1)
PrSn2Pt: relaxed, GGA-PBE.

Cell: 10.3592 10.3592 10.3592 Å, 153.86 125.15 61.74°
Last column: nearest neighbours and their distance in Å.
Fractional positions:
Pr1 0.2035 0.2035 0.0000  8 Sn 3.24-3.29, 6 Pt 3.46-3.56
Pr2 0.2365 0.0000 0.2365  10 Sn 3.54-3.72, 4 Pt 3.54
Pr3 0.7635 0.0000 0.7635  10 Sn 3.54-3.72, 4 Pt 3.54
Pr4 0.7965 0.7965 0.0000  8 Sn 3.24-3.29, 6 Pt 3.46-3.56
Sn1 0.0778 0.5778 0.5000  2 Pt 2.67, 1 Sn 2.77
Sn2 0.1451 0.8020 0.3431  3 Pt 2.66-2.85
Sn3 0.4195 0.4195 0.0000  2 Pt 2.71, 1 Sn 2.86
Sn4 0.4589 0.8020 0.6569  3 Pt 2.66-2.85
Sn5 0.5411 0.1980 0.3431  3 Pt 2.66-2.85
Sn6 0.5805 0.5805 0.0000  2 Pt 2.71, 1 Sn 2.86
Sn7 0.8549 0.1980 0.6569  3 Pt 2.66-2.85
Sn8 0.9222 0.4222 0.5000  2 Pt 2.67, 1 Sn 2.77
Pt1 0.0977 0.3509 0.7468  5 Sn 2.66-2.85
Pt2 0.3959 0.6491 0.7468  5 Sn 2.66-2.85
Pt3 0.6041 0.3509 0.2532  5 Sn 2.66-2.85
Pt4 0.9023 0.6491 0.2532  5 Sn 2.66-2.85

Properties
Formation enthalpy at 0 K: -3.33 eV/f.u.
Total magnetization: 0.000 μB per atom
DOS at the Fermi energy: 0.3573 states/eV/atom



(2)
Ba2NiP: relaxed, GGA-PBE.

Cell: 6.3595 6.3595 6.3595 Å, 137.98 137.98 60.93°
Last column: nearest neighbours and their distance in Å.
Fractional positions:
Ba1 0.0000 0.0000 0.0000  4 P 3.22, 4 Ba 3.57, 4 Ni 3.57
Ba2 0.7500 0.2500 0.5000  4 Ni 3.22, 4 Ba 3.57, 4 P 3.57
Ni1 0.2500 0.7500 0.5000  8 Ba 3.22-3.57, 4 P 3.57
P1 0.5000 0.5000 0.0000  8 Ba 3.22-3.57, 4 Ni 3.57

Properties
Formation enthalpy at 0 K: -0.28 eV/f.u.
Total magnetization: 0.074 μB per atom
DOS at the Fermi energy: 1.3877 states/eV/atom



(3)
Mg5CdRh: relaxed, GGA-PBE.

Cell: 4.5202 4.5202 7.1794 Å, 90.00 90.00 90.00°
Last column: nearest neighbours and their distance in Å.
Fractional positions:
Mg1 0.0000 0.0000 0.0000  8 Mg 3.12, 4 Cd 3.20
Mg2 0.0000 0.5000 0.2992  2 Rh 2.68, 1 Mg 2.88
Mg3 0.0000 0.5000 0.7008  2 Rh 2.68, 1 Mg 2.88
Mg4 0.5000 0.0000 0.2992  2 Rh 2.68, 1 Mg 2.88
Mg5 0.5000 0.0000 0.7008  2 Rh 2.68, 1 Mg 2.88
Cd1 0.5000 0.5000 0.0000  12 Mg 3.12-3.20
Rh1 0.0000 0.0000 0.5000  8 Mg 2.68

Properties
Formation enthalpy at 0 K: -1.43 eV/f.u.
Total magnetization: 0.000 μB per atom
DOS at the Fermi energy: 0.4954 states/eV/atom
Energy relative to the lowest polymorph listed for this composition: 0 meV per atom